The following is a DFT calculation (PBE) of a relaxed LiTiS2O2 crystal.

The spin magnetization is 0.1716 μB/atom. For the formation energy (no corrections), the calculation gives -1019 meV/atom. For the density of states at the Fermi level, the calculation gives 0.203 states/eV per atom. The energy comes out at -5.682 eV per atom.

It has space group C2/m (No. 12), with a = 5.8457 Å, b = 3.5615 Å, c = 10.5650 Å, α = 90.00°, β = 106.05° and γ = 90.00°. The asymmetric unit holds Li at (0.0000, 0.0000, 0.0000), Ti at (0.0000, 0.5000, 0.5000), S at (0.0943, 0.0000, 0.3621) and O at (0.0986, 0.5000, 0.0532).


The following is a DFT calculation (PBE) of a relaxed Li2TiS2O crystal.

The spin magnetization is 0.0000 μB/atom. For the formation energy (no corrections), the calculation gives -1728 meV/atom. For the density of states at the Fermi level, the calculation gives 0.000 states/eV per atom. The energy comes out at -5.884 eV per atom.

It has space group P2_1/c (No. 14), with a = 6.4555 Å, b = 12.5180 Å, c = 5.5948 Å, α = 90.00°, β = 114.25° and γ = 90.00°. The asymmetric unit holds Li at (0.0949, 0.1395, 0.0572), Li at (0.2939, 0.5542, 0.1778), Ti at (0.4838, 0.1811, 0.6388), S at (0.1193, 0.1432, 0.5438), S at (0.2910, 0.5488, 0.6317) and O at (0.4667, 0.6939, 0.1665).


The following is a DFT calculation (PBE) of a relaxed LiTiS2O8 crystal.

The spin magnetization is 0.0833 μB/atom. For the formation energy (no corrections), the calculation gives -1735 meV/atom. For the density of states at the Fermi level, the calculation gives 0.331 states/eV per atom. The energy comes out at -6.546 eV per atom.

It has space group P-3m1 (No. 164), with a = 5.1840 Å, b = 5.1840 Å, c = 6.2864 Å, α = 90.00°, β = 90.00° and γ = 120.00°. The asymmetric unit holds Li at (0.0000, 0.0000, 0.0000), Ti at (0.0000, 0.0000, 0.5000), S at (0.3333, 0.6667, 0.7842), O at (0.1766, 0.3532, 0.7016) and O at (0.3333, 0.6667, 0.0136).


The following is a DFT calculation (PBE) of a relaxed LiTiSO5 crystal.

The spin magnetization is 0.1250 μB/atom. For the formation energy (no corrections), the calculation gives -1981 meV/atom. For the density of states at the Fermi level, the calculation gives 0.172 states/eV per atom. The energy comes out at -6.821 eV per atom.

It has space group C2/c (No. 15), with a = 7.5135 Å, b = 8.0986 Å, c = 7.1429 Å, α = 90.00°, β = 117.41° and γ = 90.00°. The asymmetric unit holds Li at (0.0000, 0.1886, 0.2500), Ti at (0.0000, 0.5000, 0.0000), S at (0.0000, 0.1352, 0.7500), O at (0.0000, 0.4225, 0.2500), O at (0.0196, 0.2397, 0.5895) and O at (0.1743, 0.0199, 0.8507).


The following is a DFT calculation (PBE) of a relaxed LiTiS2O crystal.

The spin magnetization is 0.1995 μB/atom. For the formation energy (no corrections), the calculation gives -1058 meV/atom. For the density of states at the Fermi level, the calculation gives 0.394 states/eV per atom. The energy comes out at -5.662 eV per atom.

It has space group R3m (No. 160, hexagonal axes), with a = 3.3964 Å, b = 3.3964 Å, c = 25.3241 Å, α = 90.00°, β = 90.00° and γ = 120.00°. The asymmetric unit holds Li at (0.0000, 0.0000, 0.0000), Ti at (0.0000, 0.0000, 0.8321), S at (0.0000, 0.0000, 0.2222), S at (0.0000, 0.0000, 0.4424) and O at (0.0000, 0.0000, 0.6674).


The following is a DFT calculation (PBE) of a relaxed LiTiSO crystal.

The spin magnetization is 0.0000 μB/atom. For the formation energy (no corrections), the calculation gives -1877 meV/atom. For the density of states at the Fermi level, the calculation gives 0.556 states/eV per atom. The energy comes out at -6.601 eV per atom.

It has space group R3m (No. 160, hexagonal axes), with a = 3.1569 Å, b = 3.1569 Å, c = 17.2103 Å, α = 90.00°, β = 90.00° and γ = 120.00°. The asymmetric unit holds Li at (0.0000, 0.0000, 0.0000), Ti at (0.0000, 0.0000, 0.5317), S at (0.0000, 0.0000, 0.7747) and O at (0.0000, 0.0000, 0.2651).


The following is a DFT calculation (PBE) of a relaxed LiY2Ti2S2O5 crystal.

The spin magnetization is 0.0000 μB/atom. For the formation energy (no corrections), the calculation gives -2729 meV/atom. For the density of states at the Fermi level, the calculation gives 0.224 states/eV per atom. The energy comes out at -8.035 eV per atom.

It has space group Immm (No. 71), with a = 3.8626 Å, b = 3.9555 Å, c = 22.3205 Å, α = 90.00°, β = 90.00° and γ = 90.00°. The asymmetric unit holds Li at (0.0000, 0.0000, 0.0000), Y at (0.0000, 0.5000, 0.3352), Ti at (0.0000, 0.5000, 0.0855), S at (0.0000, 0.5000, 0.2048), O at (0.0000, 0.0000, 0.0917), O at (0.0000, 0.0000, 0.3970) and O at (0.0000, 0.5000, 0.0000).


The following is a DFT calculation (PBE) of a relaxed LiY4Ti4S4O10 crystal.

The spin magnetization is 0.0274 μB/atom. For the formation energy (no corrections), the calculation gives -2809 meV/atom. For the density of states at the Fermi level, the calculation gives 0.195 states/eV per atom. The energy comes out at -8.263 eV per atom.

It has space group C2/m (No. 12), with a = 5.4635 Å, b = 22.6238 Å, c = 5.4630 Å, α = 90.00°, β = 91.08° and γ = 90.00°. The asymmetric unit holds Li at (0.0000, 0.0000, 0.0000), Y at (0.2494, 0.1658, 0.2490), Ti at (0.2450, 0.4179, 0.2551), S at (0.2472, 0.2047, 0.7515), O at (0.0000, 0.0926, 0.0000), O at (0.0000, 0.1011, 0.5000), O at (0.0000, 0.3986, 0.0000), O at (0.0000, 0.3998, 0.5000) and O at (0.2458, 0.0000, 0.7548).


The following is a DFT calculation (PBE) of a relaxed LiTmS2O8 crystal.

The spin magnetization is 0.0000 μB/atom. For the formation energy (no corrections), the calculation gives -2003 meV/atom. For the density of states at the Fermi level, the calculation gives 0.000 states/eV per atom. The energy comes out at -6.529 eV per atom.

It has space group P-3m1 (No. 164), with a = 5.3313 Å, b = 5.3313 Å, c = 6.5820 Å, α = 90.00°, β = 90.00° and γ = 120.00°. The asymmetric unit holds Li at (0.0000, 0.0000, 0.0000), Tm at (0.0000, 0.0000, 0.5000), S at (0.3333, 0.6667, 0.7977), O at (0.1816, 0.3633, 0.7152) and O at (0.3333, 0.6667, 0.0169).


The following is a DFT calculation (PBE) of a relaxed LiTmU2S3O2 crystal.

The spin magnetization is 0.6239 μB/atom. For the formation energy (no corrections), the calculation gives -2089 meV/atom. For the density of states at the Fermi level, the calculation gives 1.332 states/eV per atom. The energy comes out at -7.785 eV per atom.

It has space group Amm2 (No. 38), with a = 3.8637 Å, b = 3.8110 Å, c = 22.6367 Å, α = 90.00°, β = 90.00° and γ = 90.00°. The asymmetric unit holds Li at (0.0000, 0.0000, 0.0000), Tm at (0.5000, 0.0000, 0.3993), U at (0.0000, 0.0000, 0.7329), U at (0.5000, 0.0000, 0.1183), S at (0.0000, 0.0000, 0.8940), S at (0.5000, 0.0000, 0.2817), S at (0.5000, 0.0000, 0.5205), O at (0.0000, 0.0000, 0.1683) and O at (0.5000, 0.0000, 0.6702).


The following is a DFT calculation (PBE) of a relaxed LiTmU2S3O2 crystal.

The spin magnetization is 0.6295 μB/atom. For the formation energy (no corrections), the calculation gives -2045 meV/atom. For the density of states at the Fermi level, the calculation gives 1.581 states/eV per atom. The energy comes out at -7.741 eV per atom.

It has space group Cm (No. 8), with a = 5.3844 Å, b = 5.3848 Å, c = 10.6006 Å, α = 90.00°, β = 90.00° and γ = 90.00°. The asymmetric unit holds Li at (0.0000, 0.0000, 0.0000), Tm at (0.4977, 0.5000, 0.4992), U at (0.9995, 0.5000, 0.8516), U at (0.4991, 0.0000, 0.1487), S at (0.4978, 0.0000, 0.4979), S at (0.4990, 0.5000, 0.2470), S at (0.4992, 0.5000, 0.7517) and O at (0.2496, 0.2501, 0.9997).


The following is a DFT calculation (PBE) of a relaxed LiUS2O8 crystal.

The spin magnetization is 0.2500 μB/atom. For the formation energy (no corrections), the calculation gives -1731 meV/atom. For the density of states at the Fermi level, the calculation gives 0.035 states/eV per atom. The energy comes out at -6.825 eV per atom.

It has space group P-3m1 (No. 164), with a = 5.4687 Å, b = 5.4687 Å, c = 6.7895 Å, α = 90.00°, β = 90.00° and γ = 120.00°. The asymmetric unit holds Li at (0.0000, 0.0000, 0.0000), U at (0.0000, 0.0000, 0.5000), S at (0.3333, 0.6667, 0.8156), O at (0.1848, 0.3695, 0.7351) and O at (0.3333, 0.6667, 0.0278).